(1)
This record from Alexandria describes SbTe2OsSe after structural relaxation. The functional is PBE.

uncorrected formation energy = 0.70 eV per atom
raw total energy = -4.32 eV/atom
crystal system = tetragonal

abc: 5.2271 5.2271 5.1424
angles: 90.00 90.00 90.00
Space group P4/mmm (No. 123)
Inequivalent atoms, fractional coordinates:
Sb: 0.0000 0.0000 0.0000 x1
Te: 0.0000 0.5000 0.5000 x2
Os: 0.0000 0.0000 0.5000 x1
Se: 0.5000 0.5000 0.0000 x1

=====

(2)
This record from Alexandria describes Th4SbOsSe2 after structural relaxation. The functional is PBE.

uncorrected formation energy = -1.08 eV per atom
raw total energy = -7.58 eV/atom
crystal system = monoclinic

abc: 7.4677 4.1907 7.7131
angles: 90.00 108.70 90.00
Space group P2/m (No. 10)
Inequivalent atoms, fractional coordinates:
Th: 0.2214 0.0000 0.2160 x2
Th: 0.2497 0.5000 0.7739 x2
Sb: 0.0000 0.0000 0.5000 x1
Os: 0.0000 0.5000 0.0000 x1
Se: 0.5000 0.0000 0.0000 x1
Se: 0.5000 0.5000 0.5000 x1

=====

(3)
This record from Alexandria describes Th4Sb2OsSe after structural relaxation. The functional is PBE.

uncorrected formation energy = -0.94 eV per atom
raw total energy = -7.52 eV/atom
crystal system = monoclinic

abc: 7.5648 4.2723 7.7315
angles: 90.00 108.99 90.00
Space group P2/m (No. 10)
Inequivalent atoms, fractional coordinates:
Th: 0.2174 0.0000 0.2122 x2
Th: 0.2458 0.5000 0.7735 x2
Sb: 0.0000 0.0000 0.5000 x1
Sb: 0.5000 0.5000 0.5000 x1
Os: 0.0000 0.5000 0.0000 x1
Se: 0.5000 0.0000 0.0000 x1

=====

> Which formula does entry 2 have?

Th4SbOsSe2